Below is an optimized crystal structure of FeHgSe2, with properties calculated at the PBE level.

abc: 2.928 2.928 10.380
angles: 90.00 90.00 90.00
Atoms (fractional coordinates):
Fe 0.000 0.000 0.288
Hg 0.500 0.500 0.745
Se 0.000 0.000 0.065
Se 0.500 0.500 0.402

- ρ: 7.73 Mg/m³
- Space group: No. 99
- Formation energy without anion corrections: 0.046 eV/atom
- Total magnetization: 0.00 Bohr magnetons per cell